(1)
# Nd4PtCl5, relaxed, DFT PBE-GGA
# Crystal system = monoclinic
# Formation energy from raw total energies = -1763 meV per atom
# Uncorrected energy = -5.20 eV/atom
# D(E_F) = 10.43 states/eV/cell
data_Nd4PtCl5
_space_group_name_H-M_alt 'C 1 2/m 1'
_space_group_IT_number 12
_cell_length_a 18.6968
_cell_length_b 4.1269
_cell_length_c 8.5540
_cell_angle_alpha 90.00
_cell_angle_beta 105.96
_cell_angle_gamma 90.00
loop_
_space_group_symop_operation_xyz
'x,y,z'
'-x,-y,-z'
'-x,y,-z'
'x,-y,z'
'x+1/2,y+1/2,z'
'-x+1/2,-y+1/2,-z'
'-x+1/2,y+1/2,-z'
'x+1/2,-y+1/2,z'
loop_
_atom_site_label
_atom_site_type_symbol
_atom_site_fract_x
_atom_site_fract_y
_atom_site_fract_z
_atom_site_occupancy
Nd1 Nd 0.0005 0.0000 0.2710 1
Nd2 Nd 0.1567 0.5000 0.6039 1
Pt1 Pt 0.0000 0.5000 0.5000 1
Cl1 Cl 0.0000 0.5000 0.0000 1
Cl2 Cl 0.1672 0.0000 0.8374 1
Cl3 Cl 0.1719 0.0000 0.3726 1

=====

(2)
# Nd6Pt2Cl, relaxed, DFT PBE-GGA
# Crystal system = monoclinic
# Formation energy from raw total energies = -858 meV per atom
# Uncorrected energy = -5.58 eV/atom
# D(E_F) = 19.49 states/eV/cell
data_Nd6Pt2Cl
_space_group_name_H-M_alt 'P 1 21/c 1'
_space_group_IT_number 14
_cell_length_a 6.7520
_cell_length_b 7.4595
_cell_length_c 12.2538
_cell_angle_alpha 90.00
_cell_angle_beta 121.54
_cell_angle_gamma 90.00
loop_
_space_group_symop_operation_xyz
'x,y,z'
'-x,-y,-z'
'-x,y+1/2,-z+1/2'
'x,-y+1/2,z+1/2'
loop_
_atom_site_label
_atom_site_type_symbol
_atom_site_fract_x
_atom_site_fract_y
_atom_site_fract_z
_atom_site_occupancy
Nd1 Nd 0.0811 0.1888 0.4267 1
Nd2 Nd 0.2557 0.6633 0.4278 1
Nd3 Nd 0.4050 0.0391 0.2424 1
Pt1 Pt 0.1725 0.1216 0.7393 1
Cl1 Cl 0.5000 0.0000 0.5000 1